# 1
This record from Alexandria describes an optimized crystal structure of Ta3OsRu. The functional is GGA-PBE. Values from VASP.

The value obtained for the total magnetization is 0.00 μB per cell. As for the density of states at the Fermi level: 6.5 states/eV per cell. Its offset from the most stable computed form is 0.00 kcal/mol of atoms. For the formation energy, the calculation gives 689 kJ/mol of formula units.

```
&SYSTEM
  ibrav = 0, nat = 5, ntyp = 3
/
ATOMIC_SPECIES
Ta 180.95 Ta.upf
Os 190.23 Os.upf
Ru 101.07 Ru.upf
CELL_PARAMETERS angstrom
4.776 0.000 0.000
0.000 4.776 0.000
0.000 0.000 4.776
ATOMIC_POSITIONS crystal
Ta 0.000 0.000 0.500
Ta 0.000 0.500 0.000
Ta 0.500 0.000 0.000
Os 0.000 0.000 0.000
Ru 0.500 0.500 0.500
```



# 2
This record from Alexandria describes an optimized crystal structure of TaOsRu2. The functional is GGA-PBE. Values from VASP.

The value obtained for the total magnetization is 0.00 μB per cell. As for the density of states at the Fermi level: 3.6 states/eV per cell. Its offset from the most stable computed form is 4.11 kcal/mol of atoms. For the formation energy, the calculation gives 1 kJ/mol of formula units.

```
&SYSTEM
  ibrav = 0, nat = 4, ntyp = 3
/
ATOMIC_SPECIES
Ta 180.95 Ta.upf
Os 190.23 Os.upf
Ru 101.07 Ru.upf
CELL_PARAMETERS angstrom
2.787 0.000 0.000
0.000 2.787 0.000
0.000 0.000 7.769
ATOMIC_POSITIONS crystal
Ta 0.000 0.000 0.000
Os 0.500 0.500 0.269
Ru 0.000 0.000 0.500
Ru 0.500 0.500 0.738
```



# 3
This record from Alexandria describes an optimized crystal structure of TaOsRu2. The functional is GGA-PBE. Values from VASP.

The value obtained for the total magnetization is 0.00 μB per cell. As for the density of states at the Fermi level: 9.3 states/eV per cell. Its offset from the most stable computed form is 1.26 kcal/mol of atoms. For the formation energy, the calculation gives -47 kJ/mol of formula units.

```
&SYSTEM
  ibrav = 0, nat = 8, ntyp = 3
/
ATOMIC_SPECIES
Ta 180.95 Ta.upf
Os 190.23 Os.upf
Ru 101.07 Ru.upf
CELL_PARAMETERS angstrom
3.897 0.000 0.000
0.000 3.897 0.000
0.000 0.000 7.906
ATOMIC_POSITIONS crystal
Ta 0.000 0.000 0.000
Ta 0.500 0.500 0.500
Os 0.000 0.500 0.750
Os 0.500 0.000 0.250
Ru 0.000 0.000 0.500
Ru 0.000 0.500 0.250
Ru 0.500 0.000 0.750
Ru 0.500 0.500 0.000
```



# 4
This record from Alexandria describes an optimized crystal structure of TaOsRu2. The functional is GGA-PBE. Values from VASP.

The value obtained for the total magnetization is 0.00 μB per cell. As for the density of states at the Fermi level: 9.5 states/eV per cell. Its offset from the most stable computed form is 1.14 kcal/mol of atoms. For the formation energy, the calculation gives -48 kJ/mol of formula units.

```
&SYSTEM
  ibrav = 0, nat = 8, ntyp = 3
/
ATOMIC_SPECIES
Ta 180.95 Ta.upf
Os 190.23 Os.upf
Ru 101.07 Ru.upf
CELL_PARAMETERS angstrom
3.912 0.000 0.000
0.000 3.912 0.000
0.000 0.000 7.846
ATOMIC_POSITIONS crystal
Ta 0.000 0.000 0.000
Ta 0.500 0.500 0.500
Os 0.000 0.000 0.500
Os 0.500 0.500 0.000
Ru 0.000 0.500 0.250
Ru 0.000 0.500 0.750
Ru 0.500 0.000 0.250
Ru 0.500 0.000 0.750
```



Repeat the fourth record exactly.
This record from Alexandria describes an optimized crystal structure of TaOsRu2. The functional is GGA-PBE. Values from VASP.

The value obtained for the total magnetization is 0.00 μB per cell. As for the density of states at the Fermi level: 9.5 states/eV per cell. Its offset from the most stable computed form is 1.14 kcal/mol of atoms. For the formation energy, the calculation gives -48 kJ/mol of formula units.

```
&SYSTEM
  ibrav = 0, nat = 8, ntyp = 3
/
ATOMIC_SPECIES
Ta 180.95 Ta.upf
Os 190.23 Os.upf
Ru 101.07 Ru.upf
CELL_PARAMETERS angstrom
3.912 0.000 0.000
0.000 3.912 0.000
0.000 0.000 7.846
ATOMIC_POSITIONS crystal
Ta 0.000 0.000 0.000
Ta 0.500 0.500 0.500
Os 0.000 0.000 0.500
Os 0.500 0.500 0.000
Ru 0.000 0.500 0.250
Ru 0.000 0.500 0.750
Ru 0.500 0.000 0.250
Ru 0.500 0.000 0.750
```



Which of these has the highest offset from the most stable computed form?
number 2



What did the third record say?
This record from Alexandria describes an optimized crystal structure of TaOsRu2. The functional is GGA-PBE. Values from VASP.

The value obtained for the total magnetization is 0.00 μB per cell. As for the density of states at the Fermi level: 9.3 states/eV per cell. Its offset from the most stable computed form is 1.26 kcal/mol of atoms. For the formation energy, the calculation gives -47 kJ/mol of formula units.

```
&SYSTEM
  ibrav = 0, nat = 8, ntyp = 3
/
ATOMIC_SPECIES
Ta 180.95 Ta.upf
Os 190.23 Os.upf
Ru 101.07 Ru.upf
CELL_PARAMETERS angstrom
3.897 0.000 0.000
0.000 3.897 0.000
0.000 0.000 7.906
ATOMIC_POSITIONS crystal
Ta 0.000 0.000 0.000
Ta 0.500 0.500 0.500
Os 0.000 0.500 0.750
Os 0.500 0.000 0.250
Ru 0.000 0.000 0.500
Ru 0.000 0.500 0.250
Ru 0.500 0.000 0.750
Ru 0.500 0.500 0.000
```